1.
VASP calculation (PBE) on a relaxed Hf3RhI crystal.

Cell lengths 5.055, 5.055, 5.055 Å; angles 90.00, 90.00, 90.00 degrees
Element x y z (fractional)
Hf: 0.000 0.000 0.500
Hf: 0.000 0.500 0.000
Hf: 0.500 0.000 0.000
Rh: 0.000 0.000 0.000
I: 0.500 0.500 0.500

Values from the calculation:
Its total energy is -37.43 eV for the cell shown. The value obtained for the density of states at the Fermi level is 1.358 states/eV per atom. As for the space-group type: Pm-3m. The formation energy (no corrections) is 25.6 kJ per mole of atoms. The value obtained for the energy above the most stable polymorph in this dataset is 0.00 eV per formula unit.



2.
VASP calculation (PBE) on a relaxed HfRhI3 crystal.

Cell lengths 5.298, 5.298, 5.298 Å; angles 90.00, 90.00, 90.00 degrees
Element x y z (fractional)
Hf: 0.000 0.000 0.000
Rh: 0.500 0.500 0.500
I: 0.000 0.500 0.500
I: 0.500 0.000 0.500
I: 0.500 0.500 0.000

Values from the calculation:
Its total energy is -19.00 eV for the cell shown. The value obtained for the density of states at the Fermi level is 1.031 states/eV per atom. As for the space-group type: Pm-3m. The formation energy (no corrections) is 57.0 kJ per mole of atoms. The value obtained for the energy above the most stable polymorph in this dataset is 0.00 eV per formula unit.



3.
VASP calculation (PBE) on a relaxed HfRh2I crystal.

Cell lengths 4.718, 4.718, 4.718 Å; angles 60.00, 60.00, 60.00 degrees
Element x y z (fractional)
Hf: 0.000 0.000 0.000
Rh: 0.250 0.250 0.250
Rh: 0.750 0.750 0.750
I: 0.500 0.500 0.500

Values from the calculation:
Its total energy is -26.09 eV for the cell shown. The value obtained for the density of states at the Fermi level is 0.712 states/eV per atom. As for the space-group type: Fm-3m. The formation energy (no corrections) is 2.8 kJ per mole of atoms. The value obtained for the energy above the most stable polymorph in this dataset is 0.00 eV per formula unit.



4.
VASP calculation (PBE) on a relaxed HfRhI crystal.

Cell lengths 11.485, 3.680, 3.680 Å; angles 60.46, 90.00, 90.00 degrees
Element x y z (fractional)
Hf: 0.141 0.000 0.000
Hf: 0.859 0.000 0.000
Rh: 0.000 0.666 0.666
Rh: 0.500 0.950 0.950
I: 0.330 0.666 0.666
I: 0.670 0.666 0.666

Values from the calculation:
Its total energy is -38.12 eV for the cell shown. The value obtained for the density of states at the Fermi level is 0.733 states/eV per atom. As for the space-group type: Amm2. The formation energy (no corrections) is -6.6 kJ per mole of atoms.



5.
VASP calculation (PBE) on a relaxed HfRhI2 crystal.

Cell lengths 4.976, 4.976, 4.976 Å; angles 60.00, 60.00, 60.00 degrees
Element x y z (fractional)
Hf: 0.000 0.000 0.000
Rh: 0.500 0.500 0.500
I: 0.250 0.250 0.250
I: 0.750 0.750 0.750

Values from the calculation:
Its total energy is -19.30 eV for the cell shown. The value obtained for the density of states at the Fermi level is 1.102 states/eV per atom. As for the space-group type: Fm-3m. The formation energy (no corrections) is 26.6 kJ per mole of atoms. The value obtained for the energy above the most stable polymorph in this dataset is 0.00 eV per formula unit.



6.
VASP calculation (PBE) on a relaxed HfRhI3 crystal.

Cell lengths 5.611, 5.611, 5.611 Å; angles 90.00, 90.00, 90.00 degrees
Element x y z (fractional)
Hf: 0.000 0.000 0.000
Rh: 0.500 0.500 0.500
I: 0.000 0.000 0.500
I: 0.000 0.500 0.000
I: 0.500 0.000 0.000

Values from the calculation:
Its total energy is -18.98 eV for the cell shown. The value obtained for the density of states at the Fermi level is 5.995 states/eV per atom. As for the space-group type: Pm-3m. The formation energy (no corrections) is 57.4 kJ per mole of atoms. The value obtained for the energy above the most stable polymorph in this dataset is 0.02 eV per formula unit.



7.
VASP calculation (PBE) on a relaxed HfRh3I crystal.

Cell lengths 4.774, 4.774, 4.774 Å; angles 90.00, 90.00, 90.00 degrees
Element x y z (fractional)
Hf: 0.000 0.000 0.000
Rh: 0.000 0.500 0.500
Rh: 0.500 0.000 0.500
Rh: 0.500 0.500 0.000
I: 0.500 0.500 0.500

Values from the calculation:
Its total energy is -28.95 eV for the cell shown. The value obtained for the density of states at the Fermi level is 0.838 states/eV per atom. As for the space-group type: Pm-3m. The formation energy (no corrections) is 88.9 kJ per mole of atoms. The value obtained for the energy above the most stable polymorph in this dataset is 0.51 eV per formula unit.



8.
VASP calculation (PBE) on a relaxed HfRh2I crystal.

Cell lengths 7.358, 7.358, 7.358 Å; angles 133.46, 133.46, 67.93 degrees
Element x y z (fractional)
Hf: 0.000 0.000 0.000
Hf: 0.750 0.250 0.500
Rh: 0.113 0.625 0.988
Rh: 0.375 0.363 0.488
Rh: 0.637 0.125 0.012
Rh: 0.875 0.887 0.512
I: 0.250 0.750 0.500
I: 0.500 0.500 0.000

Values from the calculation:
Its total energy is -51.09 eV for the cell shown. The value obtained for the density of states at the Fermi level is 0.951 states/eV per atom. As for the space-group type: I-42d. The formation energy (no corrections) is 16.0 kJ per mole of atoms. The value obtained for the energy above the most stable polymorph in this dataset is 0.55 eV per formula unit.



9.
VASP calculation (PBE) on a relaxed Hf2RhI crystal.

Cell lengths 7.824, 7.824, 7.824 Å; angles 134.08, 134.08, 66.96 degrees
Element x y z (fractional)
Hf: 0.055 0.625 0.930
Hf: 0.375 0.305 0.430
Hf: 0.695 0.125 0.070
Hf: 0.875 0.945 0.570
Rh: 0.000 0.000 0.000
Rh: 0.750 0.250 0.500
I: 0.250 0.750 0.500
I: 0.500 0.500 0.000

Values from the calculation:
Its total energy is -54.95 eV for the cell shown. The value obtained for the density of states at the Fermi level is 2.546 states/eV per atom. As for the space-group type: I-42d. The formation energy (no corrections) is 32.2 kJ per mole of atoms. The value obtained for the energy above the most stable polymorph in this dataset is 1.19 eV per formula unit.



10.
VASP calculation (PBE) on a relaxed HfSbRhI2 crystal.

Cell lengths 5.552, 5.552, 5.713 Å; angles 90.00, 90.00, 90.00 degrees
Element x y z (fractional)
Hf: 0.000 0.000 0.000
Sb: 0.000 0.000 0.500
Rh: 0.500 0.500 0.500
I: 0.000 0.500 0.000
I: 0.500 0.000 0.000

Values from the calculation:
Its total energy is -20.99 eV for the cell shown. The value obtained for the density of states at the Fermi level is 0.680 states/eV per atom. As for the space-group type: P4/mmm. The formation energy (no corrections) is 68.2 kJ per mole of atoms. The value obtained for the energy above the most stable polymorph in this dataset is 0.40 eV per formula unit.



11.
VASP calculation (PBE) on a relaxed HfSbRhI2 crystal.

Cell lengths 5.221, 5.221, 5.272 Å; angles 90.00, 90.00, 90.00 degrees
Element x y z (fractional)
Hf: 0.000 0.000 0.000
Sb: 0.500 0.500 0.000
Rh: 0.500 0.500 0.500
I: 0.000 0.500 0.500
I: 0.500 0.000 0.500

Values from the calculation:
Its total energy is -21.40 eV for the cell shown. The value obtained for the density of states at the Fermi level is 0.889 states/eV per atom. As for the space-group type: P4/mmm. The formation energy (no corrections) is 60.4 kJ per mole of atoms. The value obtained for the energy above the most stable polymorph in this dataset is 0.00 eV per formula unit.



12.
VASP calculation (PBE) on a relaxed HfTe2RhI crystal.

Cell lengths 5.559, 5.559, 5.605 Å; angles 90.00, 90.00, 90.00 degrees
Element x y z (fractional)
Hf: 0.000 0.000 0.000
Te: 0.000 0.500 0.000
Te: 0.500 0.000 0.000
Rh: 0.500 0.500 0.500
I: 0.000 0.000 0.500

Values from the calculation:
Its total energy is -22.54 eV for the cell shown. The value obtained for the density of states at the Fermi level is 1.668 states/eV per atom. As for the space-group type: P4/mmm. The formation energy (no corrections) is 50.2 kJ per mole of atoms. The value obtained for the energy above the most stable polymorph in this dataset is 0.33 eV per formula unit.



| no. | total magnetic moment (μB per formula unit) |
| --- | --- |
| 1 | 0.000 |
| 2 | 0.000 |
| 3 | 0.000 |
| 4 | 0.000 |
| 5 | 0.000 |
| 6 | 0.043 |
| 7 | 0.000 |
| 8 | 0.000 |
| 9 | 0.000 |
| 10 | 1.874 |
| 11 | 0.563 |
| 12 | 1.638 |